Record 1
{"formula": "RbDyGa2Cl6", "functional": "GGA-PBE", "state": "optimized geometry", "lattice_angstrom": [[7.578, 0.000, 0.000], [3.788, 6.574, 0.000], [3.788, 2.186, 6.706]], "species": ["Rb", "Dy", "Ga", "Ga", "Cl", "Cl", "Cl", "Cl", "Cl", "Cl"], "frac_coords": [[0.000, 0.000, 0.000], [0.487, 0.488, 0.537], [0.293, 0.294, 0.120], [0.800, 0.799, 0.601], [0.115, 0.431, 0.798], [0.248, 0.842, 0.335], [0.431, 0.655, 0.798], [0.575, 0.249, 0.334], [0.655, 0.116, 0.798], [0.842, 0.576, 0.335]], "formation_energy_uncorrected_ev_per_atom": -1.60, "total_magnetization_mub_per_cell": 0.0, "space_group": "P1 (1)", "n_ef_per_ev_cell": 0.0, "rho_g_cm3": 2.983}

---

Record 2
{"formula": "Dy4GaSe2Cl", "functional": "GGA-PBE", "state": "optimized geometry", "lattice_angstrom": [[7.102, 0.000, 0.000], [0.000, 4.047, 0.000], [-2.304, 0.000, 6.744]], "species": ["Dy", "Dy", "Dy", "Dy", "Ga", "Se", "Se", "Cl"], "frac_coords": [[0.231, 0.000, 0.245], [0.240, 0.500, 0.745], [0.760, 0.500, 0.255], [0.769, 0.000, 0.755], [0.000, 0.000, 0.500], [0.000, 0.500, 0.000], [0.500, 0.000, 0.000], [0.500, 0.500, 0.500]], "formation_energy_uncorrected_ev_per_atom": -1.36, "total_magnetization_mub_per_cell": 0.0, "space_group": "P2/m (10)", "n_ef_per_ev_cell": 3.9, "rho_g_cm3": 7.821}

---

Record 3
{"formula": "DyGaSnCl6", "functional": "GGA-PBE", "state": "optimized geometry", "lattice_angstrom": [[6.707, 0.000, 0.000], [0.000, 6.707, 0.000], [0.000, 0.000, 12.730]], "species": ["Dy", "Dy", "Ga", "Ga", "Sn", "Sn", "Cl", "Cl", "Cl", "Cl", "Cl", "Cl", "Cl", "Cl", "Cl", "Cl", "Cl", "Cl"], "frac_coords": [[0.000, 0.000, 0.000], [0.500, 0.500, 0.500], [0.000, 0.000, 0.668], [0.500, 0.500, 0.168], [0.000, 0.000, 0.334], [0.500, 0.500, 0.834], [0.183, 0.183, 0.159], [0.196, 0.196, 0.850], [0.220, 0.220, 0.494], [0.280, 0.720, 0.994], [0.304, 0.696, 0.350], [0.317, 0.683, 0.659], [0.683, 0.317, 0.659], [0.696, 0.304, 0.350], [0.720, 0.280, 0.994], [0.780, 0.780, 0.494], [0.804, 0.804, 0.850], [0.817, 0.817, 0.159]], "formation_energy_uncorrected_ev_per_atom": -1.50, "total_magnetization_mub_per_cell": 0.0, "space_group": "P4_2nm (102)", "n_ef_per_ev_cell": 0.0, "rho_g_cm3": 3.269}

---

Record 4
{"formula": "DyTl2GaCl6", "functional": "GGA-PBE", "state": "optimized geometry", "lattice_angstrom": [[3.858, 2.228, 6.428], [-3.858, 2.228, 6.428], [0.000, -4.455, 6.428]], "species": ["Dy", "Tl", "Tl", "Ga", "Cl", "Cl", "Cl", "Cl", "Cl", "Cl"], "frac_coords": [[0.000, 0.000, 0.000], [0.291, 0.291, 0.291], [0.783, 0.783, 0.783], [0.508, 0.508, 0.508], [0.144, 0.320, 0.755], [0.210, 0.861, 0.672], [0.320, 0.755, 0.144], [0.672, 0.210, 0.861], [0.755, 0.144, 0.320], [0.861, 0.672, 0.210]], "formation_energy_uncorrected_ev_per_atom": -1.48, "total_magnetization_mub_per_cell": 0.0, "space_group": "R3 (146)", "n_ef_per_ev_cell": 0.0, "rho_g_cm3": 4.275}

---

Record 5
{"formula": "GdDy2Cl", "functional": "GGA-PBE", "state": "optimized geometry", "lattice_angstrom": [[1.722, 0.994, 11.082], [-1.722, 0.994, 11.082], [0.000, -1.989, 11.082]], "species": ["Gd", "Dy", "Dy", "Cl"], "frac_coords": [[0.000, 0.000, 0.000], [0.100, 0.100, 0.100], [0.900, 0.900, 0.900], [0.500, 0.500, 0.500]], "formation_energy_uncorrected_ev_per_atom": -0.40, "total_magnetization_mub_per_cell": 8.3, "space_group": "R-3m (166)", "n_ef_per_ev_cell": 4.9, "rho_g_cm3": 7.550}

---

Record 6
{"formula": "GdDy3Cl", "functional": "GGA-PBE", "state": "optimized geometry", "lattice_angstrom": [[5.284, 0.000, 0.000], [0.000, 5.284, 0.000], [0.000, 0.000, 5.284]], "species": ["Gd", "Dy", "Dy", "Dy", "Cl"], "frac_coords": [[0.000, 0.000, 0.000], [0.000, 0.500, 0.500], [0.500, 0.000, 0.500], [0.500, 0.500, 0.000], [0.500, 0.500, 0.500]], "formation_energy_uncorrected_ev_per_atom": -0.44, "total_magnetization_mub_per_cell": 7.3, "space_group": "Pm-3m (221)", "n_ef_per_ev_cell": 6.0, "rho_g_cm3": 7.657}

---

Record 7
{"formula": "DyGeCl6", "functional": "GGA-PBE", "state": "optimized geometry", "lattice_angstrom": [[3.198, -6.350, 0.000], [3.198, 6.350, 0.000], [-1.858, 0.000, 6.118]], "species": ["Dy", "Ge", "Cl", "Cl", "Cl", "Cl", "Cl", "Cl"], "frac_coords": [[0.000, 0.000, 0.000], [0.500, 0.500, 0.500], [0.130, 0.402, 0.265], [0.256, 0.256, 0.743], [0.402, 0.130, 0.265], [0.598, 0.870, 0.735], [0.744, 0.744, 0.257], [0.870, 0.598, 0.735]], "formation_energy_uncorrected_ev_per_atom": -1.41, "total_magnetization_mub_per_cell": 0.0, "space_group": "C2/m (12)", "n_ef_per_ev_cell": 3.4, "rho_g_cm3": 2.993}

---

Record 8
{"formula": "DyGe2Cl8", "functional": "GGA-PBE", "state": "optimized geometry", "lattice_angstrom": [[6.066, -4.530, 0.000], [6.066, 4.530, 0.000], [-2.413, 0.000, 7.079]], "species": ["Dy", "Ge", "Ge", "Cl", "Cl", "Cl", "Cl", "Cl", "Cl", "Cl", "Cl"], "frac_coords": [[0.000, 0.000, 0.000], [0.135, 0.135, 0.624], [0.865, 0.865, 0.376], [0.108, 0.717, 0.187], [0.187, 0.187, 0.299], [0.283, 0.892, 0.813], [0.323, 0.323, 0.774], [0.677, 0.677, 0.226], [0.717, 0.108, 0.187], [0.813, 0.813, 0.701], [0.892, 0.283, 0.813]], "formation_energy_uncorrected_ev_per_atom": -1.22, "total_magnetization_mub_per_cell": 0.0, "space_group": "C2/m (12)", "n_ef_per_ev_cell": 6.5, "rho_g_cm3": 2.524}